A:
Compound: OsBrCl3
Source: Alexandria via LeMat-Bulk
Functional: GGA-PBE
Structure: optimized geometry

a b c (Å): 4.7857 4.7857 4.7857
angles (deg): 90.00 90.00 90.00
With the nearest neighbours (Å) after each atom.
Atoms (fractional coordinates):
Os (0.0000, 0.0000, 0.0000)  6 Cl 2.39
Br (0.5000, 0.5000, 0.5000)  12 Cl 3.38
Cl (0.0000, 0.0000, 0.5000)  2 Os 2.39
Cl (0.0000, 0.5000, 0.0000)  2 Os 2.39
Cl (0.5000, 0.0000, 0.0000)  2 Os 2.39

Computed properties:
Space group   No. 221


B:
Compound: OsBrCl3
Source: Alexandria via LeMat-Bulk
Functional: GGA-PBE
Structure: optimized geometry

a b c (Å): 7.9894 7.3925 13.5764
angles (deg): 90.00 123.49 90.00
With the nearest neighbours (Å) after each atom.
Atoms (fractional coordinates):
Os (0.0875, 0.1411, 0.0156)  3 Cl 2.24-2.29, 1 Os 2.42
Os (0.0875, 0.3589, 0.5156)  3 Cl 2.24-2.29, 1 Os 2.42
Os (0.9125, 0.6411, 0.4844)  3 Cl 2.24-2.29, 1 Os 2.42
Os (0.9125, 0.8589, 0.9844)  3 Cl 2.24-2.29, 1 Os 2.42
Br (0.3614, 0.1604, 0.5381)  1 Os 2.51
Br (0.3614, 0.3396, 0.0381)  1 Os 2.51
Br (0.6386, 0.6604, 0.9619)  1 Os 2.51
Br (0.6386, 0.8396, 0.4619)  1 Os 2.51
Cl (0.1211, 0.7279, 0.1601)  1 Os 2.24
Cl (0.1211, 0.7721, 0.6601)  1 Os 2.24
Cl (0.2229, 0.1777, 0.2094)  1 Os 2.24
Cl (0.2229, 0.3223, 0.7094)  1 Os 2.24
Cl (0.2728, 0.5722, 0.4935)  1 Os 2.29
Cl (0.2728, 0.9278, 0.9935)  1 Os 2.29
Cl (0.7272, 0.0722, 0.0065)  1 Os 2.29
Cl (0.7272, 0.4278, 0.5065)  1 Os 2.29
Cl (0.7771, 0.6777, 0.2906)  1 Os 2.24
Cl (0.7771, 0.8223, 0.7906)  1 Os 2.24
Cl (0.8789, 0.2279, 0.3399)  1 Os 2.24
Cl (0.8789, 0.2721, 0.8399)  1 Os 2.24

Computed properties:
Space group   No. 14


Going by the energies, B is most stable and the next is 420 meV per atom up.